The following is a DFT calculation (PBE) of a relaxed structure of PuPa14Al.

Structure (CIF):
```
data_PuPa14Al
_cell_length_a 10.9834
_cell_length_b 6.3689
_cell_length_c 6.3689
_cell_angle_alpha 119.60
_cell_angle_beta 90.00
_cell_angle_gamma 90.00
_symmetry_space_group_name_H-M 'P 1'
_symmetry_Int_Tables_number 1
_symmetry_space_group_name_Hall 'P 1'
loop_
_atom_site_label
_atom_site_type_symbol
_atom_site_fract_x
_atom_site_fract_y
_atom_site_fract_z
Pu1 Pu 0.0000 0.0000 0.0000
Pa1 Pa 0.0000 0.0113 0.5294
Pa2 Pa 0.0000 0.5294 0.0113
Pa3 Pa 0.2453 0.2594 0.2594
Pa4 Pa 0.2471 0.2590 0.7608
Pa5 Pa 0.2466 0.7517 0.7517
Pa6 Pa 0.2471 0.7608 0.2590
Pa7 Pa 0.5000 0.0087 0.0087
Pa8 Pa 0.5000 0.0101 0.5102
Pa9 Pa 0.5000 0.5080 0.5080
Pa10 Pa 0.5000 0.5102 0.0101
Pa11 Pa 0.7529 0.2590 0.7608
Pa12 Pa 0.7534 0.7517 0.7517
Pa13 Pa 0.7529 0.7608 0.2590
Pa14 Pa 0.7547 0.2594 0.2594
Al1 Al 0.0000 0.5029 0.5029
```

## Properties
The formation energy from the elements is 0.01 eV per atom. Its total magnetization is 5.97 μB per formula unit.

---

The following is a DFT calculation (PBE) of a relaxed structure of MgTcRu2.

Structure (CIF):
```
data_MgTcRu2
_cell_length_a 4.7294
_cell_length_b 4.7294
_cell_length_c 4.8546
_cell_angle_alpha 99.89
_cell_angle_beta 99.89
_cell_angle_gamma 33.93
_symmetry_space_group_name_H-M 'P 1'
_symmetry_Int_Tables_number 1
_symmetry_space_group_name_Hall 'P 1'
loop_
_atom_site_label
_atom_site_type_symbol
_atom_site_fract_x
_atom_site_fract_y
_atom_site_fract_z
Mg1 Mg 0.0000 0.0000 0.0000
Tc1 Tc 0.5000 0.5000 0.5000
Ru1 Ru 0.2392 0.2392 0.7314
Ru2 Ru 0.7608 0.7608 0.2686
```

## Properties
The formation energy from the elements is 0.18 eV per atom. Its total magnetization is 0.00 μB per formula unit.